(1)
Compound: KBa2Ag
Source: the Alexandria database
Functional: GGA-PBE
Structure: relaxed

Computed properties:
ΔH_f (0 K) = 3.36 kcal/mol of atoms
Fermi-level density of states = 4.838 states/eV/cell
Space group = No. 119
Size of the total moment = 0.0 μB/f.u.

Cell: 7.596 7.596 7.596 Å, 138.74 138.74 59.77°
Fractional positions:
Ag: 0.750 0.250 0.500
Ba: 0.000 0.000 0.000
Ba: 0.250 0.750 0.500
K: 0.500 0.500 0.000

(2)
Compound: KBa2Ag
Source: the Alexandria database
Functional: GGA-PBE
Structure: relaxed

Computed properties:
ΔH_f (0 K) = 4.89 kcal/mol of atoms
Fermi-level density of states = 4.818 states/eV/cell
Space group = No. 216
Size of the total moment = 0.0 μB/f.u.

Cell: 6.251 6.251 6.251 Å, 60.00 60.00 60.00°
Fractional positions:
Ag: 0.500 0.500 0.500
Ba: 0.000 0.000 0.000
Ba: 0.250 0.250 0.250
K: 0.750 0.750 0.750

(3)
Compound: K3BaAg8
Source: the Alexandria database
Functional: GGA-PBE
Structure: relaxed

Computed properties:
ΔH_f (0 K) = -0.55 kcal/mol of atoms
Fermi-level density of states = 6.528 states/eV/cell
Space group = No. 160
Size of the total moment = 0.0 μB/f.u.

Cell: 5.981 5.981 10.481 Å, 73.42 73.42 60.00°
Fractional positions:
K: 0.374 0.374 0.877
K: 0.004 0.004 0.989
K: 0.496 0.496 0.513
Ba: 0.876 0.876 0.373
Ag: 0.934 0.439 0.188
Ag: 0.439 0.937 0.686
Ag: 0.439 0.439 0.188
Ag: 0.937 0.937 0.686
Ag: 0.187 0.187 0.439
Ag: 0.688 0.688 0.937
Ag: 0.439 0.934 0.188
Ag: 0.937 0.439 0.686

(4)
Compound: KBaAg4
Source: the Alexandria database
Functional: GGA-PBE
Structure: relaxed

Computed properties:
ΔH_f (0 K) = -1.38 kcal/mol of atoms
Fermi-level density of states = 5.017 states/eV/cell
Space group = No. 216
Size of the total moment = 0.0 μB/f.u.

Cell: 6.054 6.054 6.054 Å, 60.00 60.00 60.00°
Fractional positions:
Ag: 0.122 0.626 0.626
Ag: 0.626 0.626 0.626
Ag: 0.626 0.122 0.626
Ag: 0.626 0.626 0.122
Ba: 0.250 0.250 0.250
K: 0.000 0.000 0.000

(5)
Compound: K2BaAg
Source: the Alexandria database
Functional: GGA-PBE
Structure: relaxed

Computed properties:
ΔH_f (0 K) = 2.15 kcal/mol of atoms
Fermi-level density of states = 3.097 states/eV/cell
Space group = No. 123
Size of the total moment = 0.0 μB/f.u.

Cell: 5.262 5.262 6.787 Å, 90.00 90.00 90.01°
Fractional positions:
Ag: 0.500 0.000 0.500
Ba: 0.000 0.500 0.500
K: 0.000 0.000 0.000
K: 0.500 0.500 0.000

(6)
Compound: KBa2Ag
Source: the Alexandria database
Functional: GGA-PBE
Structure: relaxed

Computed properties:
ΔH_f (0 K) = -1.59 kcal/mol of atoms
Fermi-level density of states = 7.188 states/eV/cell
Space group = No. 12
Size of the total moment = 0.0 μB/f.u.

Cell: 4.737 8.678 11.720 Å, 83.59 101.66 90.00°
Fractional positions:
K: 0.497 0.243 0.995
K: 0.503 0.757 0.005
Ba: 0.167 0.954 0.333
Ba: 0.327 0.563 0.653
Ba: 0.673 0.437 0.347
Ba: 0.833 0.046 0.667
Ag: 0.254 0.245 0.509
Ag: 0.746 0.755 0.491

(7)
Compound: KBaLi2Ag
Source: the Alexandria database
Functional: GGA-PBE
Structure: relaxed

Computed properties:
ΔH_f (0 K) = 2.17 kcal/mol of atoms
Fermi-level density of states = 3.778 states/eV/cell
Space group = No. 123
Size of the total moment = 0.2 μB/f.u.

Cell: 5.625 5.625 6.240 Å, 90.00 90.00 90.00°
Fractional positions:
K: 0.500 0.500 0.500
Ba: 0.000 0.000 0.500
Ag: 0.000 0.000 0.000
Li: 0.000 0.500 0.000
Li: 0.500 0.000 0.000

(8)
Compound: KBa2MgAg
Source: the Alexandria database
Functional: GGA-PBE
Structure: relaxed

Computed properties:
ΔH_f (0 K) = -0.14 kcal/mol of atoms
Fermi-level density of states = 5.013 states/eV/cell
Space group = No. 123
Size of the total moment = 0.0 μB/f.u.

Cell: 6.606 6.606 5.508 Å, 90.00 90.00 90.00°
Fractional positions:
Mg: 0.000 0.000 0.500
K: 0.500 0.500 0.500
Ba: 0.000 0.500 0.000
Ba: 0.500 0.000 0.000
Ag: 0.000 0.000 0.000

(9)
Compound: KBaAgN2
Source: the Alexandria database
Functional: GGA-PBE
Structure: relaxed

Computed properties:
Fermi-level density of states = 1.750 states/eV/cell
Space group = No. 123
Formation energy without anion corrections = 5.92 eV per formula unit
Size of the total moment = 1.2 μB/f.u.

Cell: 4.669 4.896 4.669 Å, 90.00 90.00 90.00°
Fractional positions:
K: 0.000 0.500 0.000
Ba: 0.500 0.500 0.500
Ag: 0.000 0.000 0.000
N: 0.000 0.000 0.500
N: 0.500 0.000 0.000

(10)
Compound: K2BaNaAg
Source: the Alexandria database
Functional: GGA-PBE
Structure: relaxed

Computed properties:
ΔH_f (0 K) = 1.62 kcal/mol of atoms
Fermi-level density of states = 5.056 states/eV/cell
Space group = No. 123
Size of the total moment = 0.0 μB/f.u.

Cell: 6.528 6.528 6.608 Å, 90.00 90.00 90.00°
Fractional positions:
Na: 0.500 0.500 0.500
K: 0.000 0.500 0.000
K: 0.500 0.000 0.000
Ba: 0.000 0.000 0.500
Ag: 0.000 0.000 0.000

(11)
Compound: KBaNaAg
Source: the Alexandria database
Functional: GGA-PBE
Structure: relaxed

Computed properties:
ΔH_f (0 K) = 0.44 kcal/mol of atoms
Fermi-level density of states = 2.417 states/eV/cell
Space group = No. 216
Size of the total moment = 0.0 μB/f.u.

Cell: 6.120 6.120 6.120 Å, 60.00 60.00 60.00°
Fractional positions:
Na: 0.750 0.750 0.750
K: 0.000 0.000 0.000
Ba: 0.500 0.500 0.500
Ag: 0.250 0.250 0.250

(12)
Compound: KBaNa2Ag
Source: the Alexandria database
Functional: GGA-PBE
Structure: relaxed

Computed properties:
ΔH_f (0 K) = 3.15 kcal/mol of atoms
Fermi-level density of states = 4.269 states/eV/cell
Space group = No. 123
Size of the total moment = 0.0 μB/f.u.

Cell: 5.980 5.980 6.334 Å, 90.00 90.00 90.00°
Fractional positions:
Na: 0.000 0.500 0.000
Na: 0.500 0.000 0.000
K: 0.000 0.000 0.500
Ba: 0.500 0.500 0.500
Ag: 0.000 0.000 0.000

(13)
Compound: KBaNa2Ag
Source: the Alexandria database
Functional: GGA-PBE
Structure: relaxed

Computed properties:
ΔH_f (0 K) = 0.96 kcal/mol of atoms
Fermi-level density of states = 4.298 states/eV/cell
Space group = No. 123
Size of the total moment = 0.0 μB/f.u.

Cell: 6.099 6.099 6.391 Å, 90.00 90.00 90.00°
Fractional positions:
Na: 0.000 0.500 0.000
Na: 0.500 0.000 0.000
K: 0.500 0.500 0.500
Ba: 0.000 0.000 0.500
Ag: 0.000 0.000 0.000

(14)
Compound: KBaAgO2
Source: the Alexandria database
Functional: GGA-PBE
Structure: relaxed

Computed properties:
Space group = No. 67
Formation energy without anion corrections = -6.74 eV per formula unit
Size of the total moment = 0.0 μB/f.u.

Cell: 6.178 7.809 7.865 Å, 119.77 90.00 90.00°
Fractional positions:
K: 0.880 0.750 0.500
K: 0.120 0.250 0.500
Ba: 0.500 0.750 0.000
Ba: 0.500 0.250 0.000
Ag: 0.000 0.000 0.000
Ag: 0.000 0.500 0.000
O: 0.717 0.919 0.839
O: 0.717 0.581 0.161
O: 0.283 0.419 0.839
O: 0.283 0.081 0.161

(15)
Compound: K2BaAgO
Source: the Alexandria database
Functional: GGA-PBE
Structure: relaxed

Computed properties:
Fermi-level density of states = 2.238 states/eV/cell
Space group = No. 123
Formation energy without anion corrections = -4.04 eV per formula unit
Size of the total moment = 0.0 μB/f.u.

Cell: 5.517 5.517 5.268 Å, 90.00 90.00 90.00°
Fractional positions:
O: 0.000 0.000 0.000
K: 0.000 0.500 0.000
K: 0.500 0.000 0.000
Ba: 0.000 0.000 0.500
Ag: 0.500 0.500 0.500

(16)
Compound: KBaAg2O
Source: the Alexandria database
Functional: GGA-PBE
Structure: relaxed

Computed properties:
Fermi-level density of states = 5.923 states/eV/cell
Space group = No. 123
Formation energy without anion corrections = 0.80 eV per formula unit
Size of the total moment = 0.4 μB/f.u.

Cell: 5.718 4.910 5.718 Å, 90.00 90.00 90.00°
Fractional positions:
O: 0.000 0.500 0.000
K: 0.000 0.000 0.000
Ba: 0.500 0.500 0.500
Ag: 0.000 0.000 0.500
Ag: 0.500 0.000 0.000

(17)
Compound: KBaAg2O
Source: the Alexandria database
Functional: GGA-PBE
Structure: relaxed

Computed properties:
Fermi-level density of states = 3.881 states/eV/cell
Space group = No. 123
Formation energy without anion corrections = -0.87 eV per formula unit
Size of the total moment = 0.0 μB/f.u.

Cell: 6.676 4.647 6.676 Å, 90.00 90.00 90.00°
Fractional positions:
O: 0.000 0.500 0.000
K: 0.500 0.500 0.500
Ba: 0.000 0.000 0.000
Ag: 0.000 0.000 0.500
Ag: 0.500 0.000 0.000

(18)
Compound: KBaAgPb
Source: the Alexandria database
Functional: GGA-PBE
Structure: relaxed

Computed properties:
ΔH_f (0 K) = -3.64 kcal/mol of atoms
Fermi-level density of states = 1.876 states/eV/cell
Space group = No. 216
Size of the total moment = 0.0 μB/f.u.

Cell: 5.679 5.679 5.679 Å, 60.00 60.00 60.00°
Fractional positions:
Pb: 0.500 0.500 0.500
K: 0.000 0.000 0.000
Ba: 0.250 0.250 0.250
Ag: 0.750 0.750 0.750

(19)
Compound: KBaAgPd
Source: the Alexandria database
Functional: GGA-PBE
Structure: relaxed

Computed properties:
ΔH_f (0 K) = -2.62 kcal/mol of atoms
Fermi-level density of states = 0.666 states/eV/cell
Space group = No. 216
Size of the total moment = 0.0 μB/f.u.

Cell: 5.619 5.619 5.619 Å, 60.00 60.00 60.00°
Fractional positions:
K: 0.750 0.750 0.750
Pd: 0.000 0.000 0.000
Ba: 0.250 0.250 0.250
Ag: 0.500 0.500 0.500

(20)
Compound: KBa2AgPd
Source: the Alexandria database
Functional: GGA-PBE
Structure: relaxed

Computed properties:
ΔH_f (0 K) = -2.54 kcal/mol of atoms
Fermi-level density of states = 4.418 states/eV/cell
Space group = No. 123
Size of the total moment = 0.0 μB/f.u.

Cell: 6.153 6.153 5.557 Å, 90.00 90.00 90.00°
Fractional positions:
K: 0.500 0.500 0.500
Pd: 0.000 0.000 0.000
Ba: 0.000 0.500 0.000
Ba: 0.500 0.000 0.000
Ag: 0.000 0.000 0.500

(21)
Compound: KBa2AgPt
Source: the Alexandria database
Functional: GGA-PBE
Structure: relaxed

Computed properties:
ΔH_f (0 K) = -4.89 kcal/mol of atoms
Fermi-level density of states = 3.808 states/eV/cell
Space group = No. 123
Size of the total moment = 0.0 μB/f.u.

Cell: 6.122 6.122 5.561 Å, 90.00 90.00 90.00°
Fractional positions:
Ag: 0.000 0.000 0.500
K: 0.500 0.500 0.500
Ba: 0.000 0.500 0.000
Ba: 0.500 0.000 0.000
Pt: 0.000 0.000 0.000

(22)
Compound: K2RbBaAg
Source: the Alexandria database
Functional: GGA-PBE
Structure: relaxed

Computed properties:
ΔH_f (0 K) = 1.10 kcal/mol of atoms
Fermi-level density of states = 4.338 states/eV/cell
Space group = No. 123
Size of the total moment = 0.0 μB/f.u.

Cell: 6.851 6.851 6.650 Å, 90.00 90.00 90.00°
Fractional positions:
K: 0.000 0.500 0.000
K: 0.500 0.000 0.000
Rb: 0.500 0.500 0.500
Ba: 0.000 0.000 0.500
Ag: 0.000 0.000 0.000

(23)
Compound: KBaAgS2
Source: the Alexandria database
Functional: GGA-PBE
Structure: relaxed

Computed properties:
Fermi-level density of states = 1.676 states/eV/cell
Space group = No. 123
Formation energy without anion corrections = 0.53 eV per formula unit
Size of the total moment = 2.0 μB/f.u.

Cell: 5.873 7.436 5.873 Å, 90.00 90.00 90.00°
Fractional positions:
S: 0.000 0.000 0.500
S: 0.500 0.000 0.000
K: 0.000 0.500 0.000
Ba: 0.000 0.000 0.000
Ag: 0.500 0.500 0.500

(24)
Compound: KBaAgS2
Source: the Alexandria database
Functional: GGA-PBE
Structure: relaxed

Computed properties:
Fermi-level density of states = 0.000 states/eV/cell
Space group = No. 67
Formation energy without anion corrections = -5.31 eV per formula unit
Size of the total moment = 0.0 μB/f.u.

Cell: 4.934 8.935 8.985 Å, 119.82 90.00 90.00°
Fractional positions:
K: 0.500 0.750 0.000
K: 0.500 0.250 0.000
Ba: 0.243 0.750 0.500
Ba: 0.757 0.250 0.500
Ag: 0.000 0.000 0.000
Ag: 0.000 0.500 0.000
S: 0.747 0.872 0.743
S: 0.747 0.628 0.257
S: 0.253 0.372 0.743
S: 0.253 0.128 0.257

(25)
Compound: KBaAgSe2
Source: the Alexandria database
Functional: GGA-PBE
Structure: relaxed

Computed properties:
Fermi-level density of states = 0.000 states/eV/cell
Space group = No. 67
Formation energy without anion corrections = -5.42 eV per formula unit
Size of the total moment = 0.0 μB/f.u.

Cell: 5.429 9.230 9.321 Å, 119.68 90.00 90.00°
Fractional positions:
K: 0.209 0.750 0.500
K: 0.791 0.250 0.500
Ba: 0.500 0.750 0.000
Ba: 0.500 0.250 0.000
Ag: 0.000 0.000 0.000
Ag: 0.000 0.500 0.000
Se: 0.725 0.879 0.757
Se: 0.725 0.621 0.243
Se: 0.275 0.379 0.757
Se: 0.275 0.121 0.243

(26)
Compound: KBaAg2Sn
Source: the Alexandria database
Functional: GGA-PBE
Structure: relaxed

Computed properties:
ΔH_f (0 K) = 16.15 kcal/mol of atoms
Fermi-level density of states = 3.855 states/eV/cell
Space group = No. 123
Size of the total moment = 0.0 μB/f.u.

Cell: 5.490 6.364 5.490 Å, 90.00 90.00 90.00°
Fractional positions:
K: 0.000 0.000 0.000
Ba: 0.000 0.500 0.000
Ag: 0.000 0.000 0.500
Ag: 0.500 0.000 0.000
Sn: 0.500 0.500 0.500

(27)
Compound: KBaAgSn2
Source: the Alexandria database
Functional: GGA-PBE
Structure: relaxed

Computed properties:
ΔH_f (0 K) = 20.05 kcal/mol of atoms
Fermi-level density of states = 6.322 states/eV/cell
Space group = No. 123
Size of the total moment = 0.0 μB/f.u.

Cell: 6.261 6.567 6.261 Å, 90.00 90.00 90.00°
Fractional positions:
K: 0.000 0.500 0.000
Ba: 0.000 0.000 0.000
Ag: 0.500 0.500 0.500
Sn: 0.000 0.000 0.500
Sn: 0.500 0.000 0.000

(28)
Compound: KBaAg2Sn
Source: the Alexandria database
Functional: GGA-PBE
Structure: relaxed

Computed properties:
ΔH_f (0 K) = 2.74 kcal/mol of atoms
Fermi-level density of states = 3.205 states/eV/cell
Space group = No. 123
Size of the total moment = 0.0 μB/f.u.

Cell: 5.403 6.167 5.403 Å, 90.00 90.00 90.00°
Fractional positions:
K: 0.000 0.500 0.000
Ba: 0.500 0.500 0.500
Ag: 0.000 0.000 0.500
Ag: 0.500 0.000 0.000
Sn: 0.000 0.000 0.000